Material: CaTl2As
Method: DFT, PBE-GGA
State: relaxed

- D(E_F): 2.096 states/eV per cell
- ΔH_f (0 K): -376 meV/atom
- M_tot: 0.000 μB per atom

abc: 4.502 4.511 5.325
angles: 90.00 90.00 90.00
Fractional coordinates of all 4 atoms:
Tl: 0.000 0.000 0.000
Tl: 0.500 0.500 0.000
Ca: 0.000 0.500 0.500
As: 0.500 0.000 0.500

---

Material: CaTl3As
Method: DFT, PBE-GGA
State: relaxed

- D(E_F): 2.221 states/eV per cell
- ΔH_f (0 K): 668 meV/atom
- M_tot: 0.000 μB per atom

abc: 5.837 5.837 5.837
angles: 90.00 90.00 90.00
Fractional coordinates of all 5 atoms:
Tl: 0.000 0.500 0.000
Tl: 0.000 0.000 0.500
Tl: 0.500 0.000 0.000
Ca: 0.000 0.000 0.000
As: 0.500 0.500 0.500

---

Material: CaTlAs4
Method: DFT, PBE-GGA
State: relaxed

- D(E_F): 4.758 states/eV per cell
- ΔH_f (0 K): -149 meV/atom
- M_tot: 0.000 μB per atom

abc: 5.810 5.810 5.810
angles: 60.00 60.00 60.00
Fractional coordinates of all 6 atoms:
As: 0.373 0.373 0.373
As: 0.373 0.880 0.373
As: 0.880 0.373 0.373
As: 0.373 0.373 0.880
Tl: 0.000 0.000 0.000
Ca: 0.750 0.750 0.750

---

Material: CaTl2As
Method: DFT, PBE-GGA
State: relaxed

- D(E_F): 2.263 states/eV per cell
- ΔH_f (0 K): -168 meV/atom
- M_tot: 0.000 μB per atom

abc: 3.984 3.984 6.764
angles: 90.00 90.00 90.00
Fractional coordinates of all 4 atoms:
As: 0.500 0.500 0.250
Ca: 0.500 0.500 0.750
Tl: 0.000 0.000 0.474
Tl: 0.000 0.000 0.026

---

Material: CaTlAs3
Method: DFT, PBE-GGA
State: relaxed

- D(E_F): 4.211 states/eV per cell
- ΔH_f (0 K): 499 meV/atom
- M_tot: 0.000 μB per atom

abc: 5.432 5.432 5.432
angles: 90.00 90.00 90.00
Fractional coordinates of all 5 atoms:
Ca: 0.000 0.000 0.000
As: 0.000 0.500 0.000
As: 0.000 0.000 0.500
As: 0.500 0.000 0.000
Tl: 0.500 0.500 0.500

---

Material: Ca2Tl2As
Method: DFT, PBE-GGA
State: relaxed

- D(E_F): 7.394 states/eV per cell
- ΔH_f (0 K): -369 meV/atom
- M_tot: 0.000 μB per atom

abc: 7.724 7.724 5.243
angles: 90.00 90.00 90.00
Fractional coordinates of all 10 atoms:
Ca: 0.828 0.672 0.000
Ca: 0.172 0.328 0.000
Ca: 0.328 0.828 0.000
Ca: 0.672 0.172 0.000
Tl: 0.646 0.854 0.500
Tl: 0.854 0.354 0.500
Tl: 0.354 0.146 0.500
Tl: 0.146 0.646 0.500
As: 0.000 0.000 0.000
As: 0.500 0.500 0.000

---

Material: CaTl2As2
Method: DFT, PBE-GGA
State: relaxed

- D(E_F): 4.865 states/eV per cell
- ΔH_f (0 K): -82 meV/atom
- M_tot: 0.000 μB per atom

abc: 8.267 8.267 3.819
angles: 90.00 90.00 90.00
Fractional coordinates of all 10 atoms:
Tl: 0.131 0.369 0.000
Tl: 0.631 0.131 0.000
Tl: 0.369 0.869 0.000
Tl: 0.869 0.631 0.000
Ca: 0.500 0.500 0.000
Ca: 0.000 0.000 0.000
As: 0.171 0.671 0.500
As: 0.329 0.171 0.500
As: 0.671 0.829 0.500
As: 0.829 0.329 0.500

---

Material: CaTl2As
Method: DFT, PBE-GGA
State: relaxed

- D(E_F): 1.768 states/eV per cell
- ΔH_f (0 K): -312 meV/atom
- M_tot: 0.000 μB per atom

abc: 5.799 5.799 5.799
angles: 131.59 131.59 70.87
Fractional coordinates of all 4 atoms:
Ca: 0.750 0.250 0.500
Tl: 0.000 0.000 0.000
Tl: 0.250 0.750 0.500
As: 0.500 0.500 0.000